# 1
VASP calculation (PBE) on a geometry-optimized CsPa2TeO8 structure.

Properties
For the total moment, the calculation gives 0.0 μB per formula unit. The calculation puts the mass density at 5.87 g/cm3.

abc: 9.167 6.860 7.911
angles: 90.00 104.57 90.00
Space group C2/m (No. 12)
Unique sites:
Cs (0.000, 0.000, 0.000) (multiplicity 2)
Pa (0.058, 0.500, 0.233) (multiplicity 4)
Te (0.000, 0.000, 0.500) (multiplicity 2)
O (0.016, 0.220, 0.323) (multiplicity 8)
O (0.135, 0.500, 0.990) (multiplicity 4)
O (0.230, 0.000, 0.603) (multiplicity 4)

# 2
VASP calculation (PBE) on a geometry-optimized Cs2PaTe3O12 structure.

Properties
For the total moment, the calculation gives 0.0 μB per formula unit. The calculation puts the mass density at 5.73 g/cm3.

abc: 7.4670 7.4670 19.2939
angles: 90.00 90.00 120.00
Space group R-3m (No. 166, hexagonal axes)
Unique sites:
Cs (0.0000, 0.0000, 0.1195) (multiplicity 6)
Pa (0.0000, 0.0000, 0.5000) (multiplicity 3)
Te (0.0000, 0.5000, 0.0000) (multiplicity 9)
O (0.0628, 0.5314, 0.0999) (multiplicity 18)
O (0.0719, 0.5360, 0.3513) (multiplicity 18)

# 3
VASP calculation (PBE) on a geometry-optimized Cs2ThPa3O12 structure.

Properties
For the total moment, the calculation gives 2.9 μB per formula unit. The calculation puts the mass density at 5.84 g/cm3.

abc: 8.1996 8.1996 20.2665
angles: 90.00 90.00 120.00
Space group R-3m (No. 166, hexagonal axes)
Unique sites:
Cs (0.0000, 0.0000, 0.1147) (multiplicity 6)
Th (0.0000, 0.0000, 0.5000) (multiplicity 3)
Pa (0.0000, 0.5000, 0.0000) (multiplicity 9)
O (0.0703, 0.5352, 0.1013) (multiplicity 18)
O (0.0773, 0.5387, 0.3510) (multiplicity 18)

# 4
VASP calculation (PBE) on a geometry-optimized Cs2Pa3TiO12 structure.

Properties
For the total moment, the calculation gives 2.9 μB per formula unit. The calculation puts the mass density at 5.66 g/cm3.

abc: 8.0808 8.0808 18.6482
angles: 90.00 90.00 120.00
Space group R-3m (No. 166, hexagonal axes)
Unique sites:
Cs (0.0000, 0.0000, 0.1293) (multiplicity 6)
Pa (0.0000, 0.5000, 0.0000) (multiplicity 9)
Ti (0.0000, 0.0000, 0.5000) (multiplicity 3)
O (0.0808, 0.5404, 0.3609) (multiplicity 18)
O (0.1022, 0.5511, 0.1073) (multiplicity 18)

# 5
VASP calculation (PBE) on a geometry-optimized CsPaTiO6 structure.

Properties
For the total moment, the calculation gives 0.0 μB per formula unit. The calculation puts the mass density at 4.73 g/cm3.

abc: 5.488 5.492 6.629
angles: 90.86 90.84 116.89
Space group P1 (No. 1)
Unique sites:
Cs (0.000, 0.000, 0.000) (multiplicity 1)
Pa (0.331, 0.668, 0.500) (multiplicity 1)
Ti (0.674, 0.325, 0.501) (multiplicity 1)
O (0.035, 0.384, 0.661) (multiplicity 1)
O (0.390, 0.334, 0.349) (multiplicity 1)
O (0.463, 0.020, 0.684) (multiplicity 1)
O (0.617, 0.965, 0.341) (multiplicity 1)
O (0.665, 0.610, 0.651) (multiplicity 1)
O (0.979, 0.535, 0.317) (multiplicity 1)

# 6
VASP calculation (PBE) on a geometry-optimized CsPaTlO4 structure.

Properties
For the total moment, the calculation gives 0.0 μB per formula unit. The calculation puts the mass density at 6.88 g/cm3.

abc: 7.123 7.742 11.075
angles: 90.00 90.00 90.00
Space group Imma (No. 74)
Unique sites:
Cs (0.000, 0.250, 0.121) (multiplicity 4)
Pa (0.250, 0.250, 0.750) (multiplicity 4)
Tl (0.000, 0.000, 0.500) (multiplicity 4)
O (0.000, 0.079, 0.757) (multiplicity 8)
O (0.207, 0.250, 0.554) (multiplicity 8)

# 7
VASP calculation (PBE) on a geometry-optimized Cs3Pa2TlO9 structure.

Properties
For the total moment, the calculation gives 0.7 μB per formula unit. The calculation puts the mass density at 7.51 g/cm3.

abc: 6.3229 6.3229 7.7187
angles: 90.00 90.00 120.00
Space group P-3m1 (No. 164)
Unique sites:
Cs (0.0000, 0.0000, 0.0000) (multiplicity 1)
Cs (0.3333, 0.6667, 0.6613) (multiplicity 2)
Pa (0.3333, 0.6667, 0.1683) (multiplicity 2)
Tl (0.0000, 0.0000, 0.5000) (multiplicity 1)
O (0.0000, 0.5000, 0.0000) (multiplicity 3)
O (0.1739, 0.3478, 0.3220) (multiplicity 6)

# 8
VASP calculation (PBE) on a geometry-optimized Cs3PaTl2O6 structure.

Properties
For the total moment, the calculation gives 0.0 μB per formula unit. The calculation puts the mass density at 6.43 g/cm3.

abc: 6.5553 6.5553 7.8737
angles: 90.00 90.00 120.00
Space group P-3m1 (No. 164)
Unique sites:
Cs (0.0000, 0.0000, 0.0000) (multiplicity 1)
Cs (0.3333, 0.6667, 0.6689) (multiplicity 2)
Pa (0.0000, 0.0000, 0.5000) (multiplicity 1)
Tl (0.3333, 0.6667, 0.2112) (multiplicity 2)
O (0.1548, 0.3095, 0.3398) (multiplicity 6)

# 9
VASP calculation (PBE) on a geometry-optimized Cs4Pa3TlO12 structure.

Properties
For the total moment, the calculation gives 0.7 μB per formula unit. The calculation puts the mass density at 7.49 g/cm3.

abc: 8.958 8.958 8.958
angles: 90.00 90.00 90.00
Space group Im-3m (No. 229)
Unique sites:
Cs (0.250, 0.250, 0.250) (multiplicity 8)
Pa (0.000, 0.000, 0.500) (multiplicity 6)
Tl (0.000, 0.000, 0.000) (multiplicity 2)
O (0.000, 0.000, 0.267) (multiplicity 12)
O (0.000, 0.250, 0.500) (multiplicity 12)

# 10
VASP calculation (PBE) on a geometry-optimized Cs2PaTl2O6 structure.

Properties
For the total moment, the calculation gives 0.0 μB per formula unit. The calculation puts the mass density at 6.72 g/cm3.

abc: 6.6610 6.6610 19.3358
angles: 90.00 90.00 120.00
Space group R-3m (No. 166, hexagonal axes)
Unique sites:
Cs (0.0000, 0.0000, 0.2166) (multiplicity 6)
Pa (0.0000, 0.0000, 0.0000) (multiplicity 3)
Tl (0.0000, 0.0000, 0.4244) (multiplicity 6)
O (0.0312, 0.5156, 0.7332) (multiplicity 18)

# 11
VASP calculation (PBE) on a geometry-optimized Cs3TmPa2O9 structure.

Properties
For the total moment, the calculation gives 2.1 μB per formula unit. The calculation puts the mass density at 7.31 g/cm3.

abc: 6.3192 6.3192 7.7098
angles: 90.00 90.00 120.00
Space group P-3m1 (No. 164)
Unique sites:
Cs (0.0000, 0.0000, 0.0000) (multiplicity 1)
Cs (0.3333, 0.6667, 0.6646) (multiplicity 2)
Tm (0.0000, 0.0000, 0.5000) (multiplicity 1)
Pa (0.3333, 0.6667, 0.1708) (multiplicity 2)
O (0.0000, 0.5000, 0.0000) (multiplicity 3)
O (0.1715, 0.3429, 0.3294) (multiplicity 6)

# 12
VASP calculation (PBE) on a geometry-optimized Cs4TmPa3O12 structure.

Properties
For the total moment, the calculation gives 1.9 μB per formula unit. The calculation puts the mass density at 7.40 g/cm3.

abc: 8.929 8.929 8.929
angles: 90.00 90.00 90.00
Space group Im-3m (No. 229)
Unique sites:
Cs (0.250, 0.250, 0.250) (multiplicity 8)
Tm (0.000, 0.000, 0.000) (multiplicity 2)
Pa (0.000, 0.000, 0.500) (multiplicity 6)
O (0.000, 0.000, 0.261) (multiplicity 12)
O (0.000, 0.250, 0.500) (multiplicity 12)

no.,uncorrected energy (eV per atom)
1,-7.622
2,-6.153
3,-8.291
4,-8.215
5,-7.836
6,-6.876
7,-6.769
8,-5.661
9,-7.110
10,-5.919
11,-7.403
12,-7.578